1.
{
  "formula": "Sm12Y3In",
  "functional": "GGA-PBE",
  "state": "optimized geometry",
  "mass_density_kg_m3": 6961,
  "e_tot_ev_per_atom": -4.969,
  "cell": [[5.044, 0.000, 0.000], [0.000, 5.044, 0.000], [0.000, 0.000, 20.493]],
  "species": ["Sm", "Sm", "Sm", "Sm", "Sm", "Sm", "Sm", "Sm", "Sm", "Sm", "Sm", "Sm", "Y", "Y", "Y", "In"],
  "fractional_positions": [[0.000, 0.000, 0.000], [0.000, 0.000, 0.246], [0.000, 0.000, 0.500], [0.000, 0.000, 0.754], [0.000, 0.500, 0.120], [0.000, 0.500, 0.374], [0.000, 0.500, 0.626], [0.000, 0.500, 0.880], [0.500, 0.000, 0.120], [0.500, 0.000, 0.374], [0.500, 0.000, 0.626], [0.500, 0.000, 0.880], [0.500, 0.500, 0.248], [0.500, 0.500, 0.500], [0.500, 0.500, 0.752], [0.500, 0.500, 0.000]]
}


2.
{
  "formula": "KVCoI2",
  "functional": "GGA-PBE",
  "state": "optimized geometry",
  "mass_density_kg_m3": 4754,
  "e_tot_ev_per_atom": -3.900,
  "raw_formation_energy_mev_per_atom": 184.1,
  "cell": [[5.537, 0.000, 0.000], [0.000, 5.537, 0.000], [0.000, 0.000, 4.589]],
  "species": ["K", "V", "Co", "I", "I"],
  "fractional_positions": [[0.000, 0.000, 0.000], [0.500, 0.500, 0.000], [0.500, 0.500, 0.500], [0.000, 0.500, 0.500], [0.500, 0.000, 0.500]]
}


3.
{
  "formula": "LaEu2Lu",
  "functional": "GGA-PBE",
  "state": "optimized geometry",
  "mass_density_kg_m3": 7046,
  "de_polymorph_kj_per_mol_atoms": 0.0,
  "e_tot_ev_per_atom": -7.385,
  "cell": [[3.687, 0.000, 0.000], [0.000, 3.687, 0.000], [0.000, 0.000, 10.712]],
  "species": ["La", "Eu", "Eu", "Lu"],
  "fractional_positions": [[0.000, 0.000, 0.000], [0.500, 0.500, 0.261], [0.500, 0.500, 0.739], [0.000, 0.000, 0.500]]
}


4.
{
  "formula": "LiInPt2",
  "functional": "GGA-PBE",
  "state": "optimized geometry",
  "mass_density_kg_m3": 13083,
  "e_tot_ev_per_atom": -4.609,
  "cell": [[8.948, 0.000, 0.000], [0.000, 2.978, 0.000], [-0.962, 0.000, 4.877]],
  "species": ["Li", "Li", "In", "In", "Pt", "Pt", "Pt", "Pt"],
  "fractional_positions": [[0.000, 0.000, 0.000], [0.500, 0.500, 0.000], [0.000, 0.500, 0.500], [0.500, 0.000, 0.500], [0.248, 0.500, 0.238], [0.252, 0.000, 0.762], [0.748, 0.000, 0.238], [0.752, 0.500, 0.762]]
}


5.
{
  "formula": "Er2NiHg",
  "functional": "GGA-PBE",
  "state": "optimized geometry",
  "mass_density_kg_m3": 10011,
  "de_polymorph_kj_per_mol_atoms": 10.8,
  "e_tot_ev_per_atom": -4.155,
  "cell": [[3.873, 0.000, 0.000], [-1.936, 3.354, 0.000], [0.000, 0.000, 22.748]],
  "species": ["Er", "Er", "Er", "Er", "Er", "Er", "Ni", "Ni", "Ni", "Hg", "Hg", "Hg"],
  "fractional_positions": [[0.000, 0.000, 0.233], [0.000, 0.000, 0.767], [0.333, 0.667, 0.434], [0.333, 0.667, 0.899], [0.667, 0.333, 0.101], [0.667, 0.333, 0.566], [0.000, 0.000, 0.500], [0.333, 0.667, 0.167], [0.667, 0.333, 0.833], [0.000, 0.000, 0.000], [0.333, 0.667, 0.667], [0.667, 0.333, 0.333]]
}


6.
{
  "formula": "CsK8Rb2",
  "functional": "GGA-PBE",
  "state": "optimized geometry",
  "mass_density_kg_m3": 1182,
  "de_polymorph_kj_per_mol_atoms": 0.0,
  "e_tot_ev_per_atom": -1.047,
  "cell": [[12.266, -3.469, 0.000], [12.266, 3.469, 0.000], [-2.491, 0.000, 10.183]],
  "species": ["Cs", "K", "K", "K", "K", "K", "K", "K", "K", "Rb", "Rb"],
  "fractional_positions": [[0.000, 0.000, 0.000], [0.090, 0.090, 0.465], [0.184, 0.184, 0.908], [0.363, 0.363, 0.818], [0.454, 0.454, 0.283], [0.546, 0.546, 0.717], [0.637, 0.637, 0.182], [0.816, 0.816, 0.092], [0.910, 0.910, 0.535], [0.272, 0.272, 0.359], [0.728, 0.728, 0.641]]
}


7.
{
  "formula": "Tm2ZnCr",
  "functional": "GGA-PBE",
  "state": "optimized geometry",
  "mass_density_kg_m3": 8705,
  "de_polymorph_kj_per_mol_atoms": 0.1,
  "e_tot_ev_per_atom": -4.963,
  "cell": [[3.512, 0.000, 0.000], [0.000, 3.512, 0.000], [0.000, 0.000, 7.042]],
  "species": ["Tm", "Tm", "Zn", "Cr"],
  "fractional_positions": [[0.000, 0.000, 0.247], [0.000, 0.000, 0.753], [0.500, 0.500, 0.500], [0.500, 0.500, 0.000]]
}


8.
{
  "formula": "MgMoH",
  "functional": "GGA-PBE",
  "state": "optimized geometry",
  "mass_density_kg_m3": 5395,
  "de_polymorph_kj_per_mol_atoms": 0.9,
  "e_tot_ev_per_atom": -5.184,
  "cell": [[2.913, 0.000, 0.000], [0.000, 4.483, 0.000], [-1.304, 0.000, 5.714]],
  "species": ["Mg", "Mg", "Mo", "Mo", "H", "H"],
  "fractional_positions": [[0.155, 0.250, 0.349], [0.845, 0.750, 0.651], [0.428, 0.750, 0.106], [0.572, 0.250, 0.894], [0.019, 0.750, 0.319], [0.981, 0.250, 0.681]]
}


The Fermi-level density of states results, record by record, are as follows: 22.80; 4.29; 4.38; 5.76; 9.67; 7.80; 3.95; 1.98 states/eV per cell.